A plane-wave DFT calculation with PBE with a Hubbard U was carried out for TiBi8WCl2O16 after structural relaxation. Values from VASP.

Geometry as Quantum ESPRESSO input:
```
&SYSTEM
  ibrav = 0, nat = 28, ntyp = 5
/
ATOMIC_SPECIES
Bi 208.98 Bi.upf
O 16.00 O.upf
Cl 35.45 Cl.upf
W 183.84 W.upf
Ti 47.87 Ti.upf
CELL_PARAMETERS angstrom
-0.6883 -11.3493 9.6956
1.8191 -14.5344 2.9544
3.1303 13.6596 -5.1867
ATOMIC_POSITIONS angstrom
Bi 3.4858 5.3719 -1.1508
Bi 3.8930 -3.9482 3.4042
Bi 1.8160 -9.2940 7.6683
Bi 2.7111 -2.6784 0.2862
Bi 3.3306 8.9989 -2.9162
Bi 1.4928 -0.9796 3.6936
Bi 4.0544 -7.5694 5.1811
Bi 3.1112 -10.9201 4.4029
O 3.0609 11.7804 -4.6042
O 2.2885 -12.7157 6.6338
O 4.1075 3.5944 -2.3972
O 2.0039 -3.3698 2.3105
O 1.7705 0.2436 0.3402
O 2.5577 -16.2759 8.6410
O 2.2371 -8.9369 5.0543
O 1.6809 4.0233 -1.3027
O 2.9179 1.3860 2.5751
O 3.1983 -2.1762 4.5773
O 4.0395 -10.6201 6.3435
O 4.4305 -3.7987 1.2160
O 4.1702 -0.1805 -0.7421
O 2.8776 5.1628 0.9905
O 3.4724 2.3423 0.0066
O 3.6264 -1.1836 1.7298
Cl 1.4593 -5.3393 5.3278
Cl 2.7146 -6.9673 1.9745
W 3.6350 0.6604 1.0263
Ti 2.4260 2.2952 4.4794
```

## Properties
**Total energy**: -172.68 eV for the cell shown
**Calculated density**: 8.3 Mg/m³
**SG**: Imm2 (44)